Below is Sm2BePt3 after structural relaxation, with properties calculated at the PBE level.

Cell: 7.7661 8.5015 14.8971 Å, 90.00 90.00 90.00°
Last column: nearest neighbours and their distance in Å.
Space group Fmmm (No. 69)
One atom of each set of equivalent atoms:
Sm: 0.2494 0.0000 0.0000 x8  10 Pt 3.03-3.34, 2 Be 3.17
Sm: 0.2500 0.2500 0.2500 x8  8 Pt 3.05-3.07, 4 Be 3.13
Be: 0.0000 0.0000 0.1680 x8  3 Pt 2.23
Pt: 0.0000 0.0000 0.3177 x8  1 Be 2.23
Pt: 0.0000 0.2240 0.0908 x16  1 Be 2.23

Values from the calculation:
As for the total energy: -297.59 eV/cell. The value obtained for the formation enthalpy at 0 K is -0.99 eV/atom. As for the crystal system: orthorhombic.

***

Below is SmBe4Pt12 after structural relaxation, with properties calculated at the PBE level.

Cell: 8.0855 8.0855 8.0855 Å, 90.00 90.00 90.00°
Last column: nearest neighbours and their distance in Å.
Space group Im-3 (No. 204)
One atom of each set of equivalent atoms:
Sm: 0.0000 0.0000 0.0000 x2  12 Pt 3.00
Be: 0.2500 0.2500 0.2500 x8  6 Pt 2.23
Pt: 0.0000 0.1675 0.3310 x24  2 Be 2.23

Values from the calculation:
As for the total energy: -193.56 eV/cell. The value obtained for the formation enthalpy at 0 K is -0.27 eV/atom. As for the crystal system: cubic.

***

Below is Sm2Be6Pt9 after structural relaxation, with properties calculated at the PBE level.

Cell: 5.5445 5.5445 10.1589 Å, 90.00 90.00 120.00°
Last column: nearest neighbours and their distance in Å.
Space group P6/mmm (No. 191)
One atom of each set of equivalent atoms:
Sm: 0.0000 0.0000 0.1911 x2  12 Pt 3.13-3.38, 6 Be 3.21
Be: 0.3333 0.6667 0.1661 x4  6 Pt 2.33-2.34
Be: 0.3333 0.6667 0.5000 x2  6 Pt 2.32
Pt: 0.0000 0.5000 0.0000 x3  4 Be 2.33
Pt: 0.0000 0.5000 0.3348 x6  4 Be 2.32-2.34

Values from the calculation:
As for the total energy: -100.33 eV/cell. The value obtained for the formation enthalpy at 0 K is -0.83 eV/atom. As for the crystal system: hexagonal.

***

Below is SmBe2Pt5 after structural relaxation, with properties calculated at the PBE level.

Cell: 3.8989 6.6610 9.6590 Å, 90.00 90.00 90.00°
Last column: nearest neighbours and their distance in Å.
Space group Immm (No. 71)
One atom of each set of equivalent atoms:
Sm: 0.0000 0.0000 0.0000 x2  10 Pt 3.12-3.33, 4 Be 3.24
Be: 0.0000 0.5000 0.2324 x4  7 Pt 2.25-2.51
Pt: 0.0000 0.2062 0.3493 x8  3 Be 2.26-2.51
Pt: 0.0000 0.5000 0.0000 x2  2 Be 2.25

Values from the calculation:
As for the total energy: -97.92 eV/cell. The value obtained for the formation enthalpy at 0 K is -0.82 eV/atom. As for the crystal system: orthorhombic.

***

Below is Sm2BeSnPt6 after structural relaxation, with properties calculated at the PBE level.

Cell: 5.7929 5.8091 7.3853 Å, 68.86 68.23 60.45°
Last column: nearest neighbours and their distance in Å.
Space group P-1 (No. 2)
One atom of each set of equivalent atoms:
Sm: 0.2349 0.2420 0.3192 x2  6 Pt 3.00-3.08
Be: 0.0000 0.0000 0.0000 x1  6 Pt 2.15-2.16
Sn: 0.5000 0.5000 0.5000 x1  6 Pt 2.64-2.65
Pt: 0.2246 0.6909 0.8288 x2  1 Be 2.15
Pt: 0.2315 0.2239 0.7869 x2  1 Be 2.16
Pt: 0.2928 0.7825 0.1820 x2  1 Be 2.15

Values from the calculation:
As for the total energy: -61.07 eV/cell. The value obtained for the formation enthalpy at 0 K is -0.77 eV/atom. As for the crystal system: triclinic.

***

Below is Sm3Be2SnPt9 after structural relaxation, with properties calculated at the PBE level.

Cell: 5.8685 5.8685 9.9679 Å, 90.00 90.00 120.00°
Last column: nearest neighbours and their distance in Å.
Space group P-3m1 (No. 164)
One atom of each set of equivalent atoms:
Sm: 0.0000 0.0000 0.0000 x1  12 Pt 2.93-3.28
Sm: 0.3333 0.6667 0.7317 x2  9 Pt 2.94-3.17
Be: 0.3333 0.6667 0.1492 x2  6 Pt 2.21-2.25
Sn: 0.0000 0.0000 0.5000 x1  6 Pt 2.70
Pt: 0.0000 0.5000 0.0000 x3  2 Be 2.25
Pt: 0.1617 0.3234 0.2846 x6  1 Be 2.21

Values from the calculation:
As for the total energy: -91.92 eV/cell. The value obtained for the formation enthalpy at 0 K is -0.80 eV/atom. As for the crystal system: trigonal.

***

Below is Sm2Be3SnPt4 after structural relaxation, with properties calculated at the PBE level.

Cell: 4.1270 4.1270 10.2093 Å, 90.00 90.00 90.00°
Last column: nearest neighbours and their distance in Å.
Space group P-4m2 (No. 115)
One atom of each set of equivalent atoms:
Sm: 0.0000 0.5000 0.2362 x2  8 Pt 3.10-3.17, 6 Be 3.18-3.39, 2 Sn 3.39
Be: 0.0000 0.5000 0.8874 x2  5 Pt 2.31-2.36
Be: 0.5000 0.5000 0.5000 x1  4 Pt 2.64, 4 Sn 2.92
Sn: 0.0000 0.0000 0.5000 x1  4 Pt 2.64, 4 Be 2.92
Pt: 0.0000 0.0000 0.0000 x1  4 Be 2.36
Pt: 0.0000 0.5000 0.6611 x2  1 Be 2.31
Pt: 0.5000 0.5000 0.0000 x1  4 Be 2.36

Values from the calculation:
As for the total energy: -57.16 eV/cell. The value obtained for the formation enthalpy at 0 K is -0.84 eV/atom. As for the crystal system: tetragonal.

***

Below is SmTh2Be2Pt7 after structural relaxation, with properties calculated at the PBE level.

Cell: 5.8708 6.6044 12.0670 Å, 90.00 101.65 90.00°
Last column: nearest neighbours and their distance in Å.
Space group C2/m (No. 12)
One atom of each set of equivalent atoms:
Sm: 0.0000 0.0000 0.0000 x2  10 Pt 2.94-3.21, 2 Be 3.10
Th: 0.1964 0.0000 0.3785 x4  7 Pt 2.91-3.22
Be: 0.1949 0.5000 0.1818 x4  6 Pt 2.17-2.33
Pt: 0.0000 0.5000 0.0000 x2  2 Be 2.26
Pt: 0.1152 0.2839 0.8101 x8  2 Be 2.17-2.33
Pt: 0.1991 0.5000 0.3730 x4  1 Be 2.30

Values from the calculation:
As for the total energy: -161.87 eV/cell. The value obtained for the formation enthalpy at 0 K is -0.97 eV/atom. As for the crystal system: monoclinic.

***

Below is Sm2TiBe3Pt4 after structural relaxation, with properties calculated at the PBE level.

Cell: 4.0363 4.0363 10.3295 Å, 90.00 90.00 90.00°
Last column: nearest neighbours and their distance in Å.
Space group P-4m2 (No. 115)
One atom of each set of equivalent atoms:
Sm: 0.0000 0.5000 0.2371 x2  8 Pt 3.09-3.17, 6 Be 3.12-3.38, 2 Ti 3.38
Ti: 0.0000 0.0000 0.5000 x1  4 Pt 2.54
Be: 0.0000 0.5000 0.8842 x2  5 Pt 2.35-2.43
Be: 0.5000 0.5000 0.5000 x1  4 Pt 2.54
Pt: 0.0000 0.0000 0.0000 x1  4 Be 2.35
Pt: 0.0000 0.5000 0.6489 x2  3 Be 2.43-2.54, 2 Ti 2.54
Pt: 0.5000 0.5000 0.0000 x1  4 Be 2.35

Values from the calculation:
As for the total energy: -61.32 eV/cell. The value obtained for the formation enthalpy at 0 K is -0.86 eV/atom. As for the crystal system: tetragonal.

***

Below is SmTiBe2Pt5 after structural relaxation, with properties calculated at the PBE level.

Cell: 4.0198 4.0198 9.7959 Å, 90.00 90.00 90.00°
Last column: nearest neighbours and their distance in Å.
Space group P4/mmm (No. 123)
One atom of each set of equivalent atoms:
Sm: 0.0000 0.0000 0.0000 x1  4 Pt 2.84
Ti: 0.0000 0.0000 0.5000 x1  8 Pt 2.62
Be: 0.5000 0.5000 0.2255 x2  5 Pt 2.21-2.25
Pt: 0.0000 0.5000 0.3278 x4  2 Be 2.25
Pt: 0.5000 0.5000 0.0000 x1  2 Be 2.21

Values from the calculation:
As for the total energy: -56.61 eV/cell. The value obtained for the formation enthalpy at 0 K is -0.70 eV/atom. As for the crystal system: tetragonal.

***

Below is Sm3Be2ZnPt9 after structural relaxation, with properties calculated at the PBE level.

Cell: 5.7778 5.7778 9.5247 Å, 90.00 90.00 120.00°
Last column: nearest neighbours and their distance in Å.
Space group P-3m1 (No. 164)
One atom of each set of equivalent atoms:
Sm: 0.0000 0.0000 0.0000 x1  6 Pt 2.89
Sm: 0.3333 0.6667 0.6063 x2  9 Pt 3.03-3.38
Be: 0.3333 0.6667 0.1519 x2  6 Pt 2.19-2.21
Zn: 0.0000 0.0000 0.5000 x1  6 Pt 2.53
Pt: 0.0000 0.5000 0.0000 x3  2 Be 2.21
Pt: 0.1645 0.3290 0.2985 x6  1 Be 2.19

Values from the calculation:
As for the total energy: -89.21 eV/cell. The value obtained for the formation enthalpy at 0 K is -0.80 eV/atom. As for the crystal system: trigonal.

***

Below is SmBeZnPt2 after structural relaxation, with properties calculated at the PBE level.

Cell: 3.9376 3.9376 11.5407 Å, 90.00 90.00 90.00°
Last column: nearest neighbours and their distance in Å.
Space group I-4m2 (No. 119)
One atom of each set of equivalent atoms:
Sm: 0.0000 0.0000 0.0000 x2  8 Pt 3.10
Be: 0.0000 0.5000 0.2500 x2  4 Pt 2.48
Zn: 0.0000 0.5000 0.7500 x2  4 Pt 2.48
Pt: 0.0000 0.0000 0.3812 x4  2 Be 2.48, 2 Zn 2.48, 1 Pt 2.74

Values from the calculation:
As for the total energy: -51.05 eV/cell. The value obtained for the formation enthalpy at 0 K is -0.74 eV/atom. As for the crystal system: tetragonal.